# 1
First-principles (PBE) data for crystalline TlInTe2 at its relaxed geometry, as listed in the Alexandria database.

Unit cell a=3.459 b=3.459 c=11.639 alpha=90.00 beta=90.00 gamma=89.95
Positions (direct):
Te: 0.500 0.500 0.286
Te: 0.000 0.000 0.955
In: 0.500 0.500 0.773
Tl: 0.000 0.000 0.486

## Properties
- Space group: P4mm
- E_form (uncorrected): 0.003 eV/atom
- Crystal system: tetragonal

# 2
First-principles (PBE) data for crystalline U3Tl4CrSe8 at its relaxed geometry, as listed in the Alexandria database.

Unit cell a=8.158 b=9.207 c=8.157 alpha=116.32 beta=120.00 gamma=90.00
Last column: magnetic moment on the atom in μB.
Positions (direct):
U: 0.000 0.500 0.500  2.50
Se: 0.737 0.710 0.473  -0.06
Tl: 0.500 0.000 0.500  0.01
Tl: 0.000 0.000 0.500  0.01
Se: 0.745 0.699 0.972  -0.07
Se: 0.255 0.301 0.028  -0.07
Tl: 0.000 0.000 0.000  0.01
Se: 0.263 0.290 0.527  -0.06
Se: 0.227 0.699 0.972  -0.07
Se: 0.773 0.301 0.546  -0.07
Tl: 0.500 0.000 0.000  0.03
U: 0.500 0.500 0.500  2.50
Cr: 0.000 0.500 0.000  3.66
Se: 0.773 0.301 0.028  -0.07
Se: 0.227 0.699 0.454  -0.07
U: 0.500 0.500 0.000  2.50

## Properties
- Space group: R-3m
- E_form (uncorrected): -0.780 eV/atom
- Crystal system: trigonal

# 3
First-principles (PBE) data for crystalline LaCe2Zr at its relaxed geometry, as listed in the Alexandria database.

Unit cell a=3.294 b=3.294 c=10.226 alpha=90.00 beta=90.00 gamma=90.00
Positions (direct):
Ce: 0.000 0.000 0.236
Ce: 0.000 0.000 0.764
Zr: 0.500 0.500 0.000
La: 0.500 0.500 0.500

## Properties
- Space group: P4/mmm
- Energy relative to the elements: 11.2 kJ/mol of atoms
- Crystal system: tetragonal

# 4
First-principles (PBE) data for crystalline Ca2CrTe at its relaxed geometry, as listed in the Alexandria database.

Unit cell a=6.640 b=6.640 c=6.640 alpha=144.20 beta=137.71 gamma=56.58
Last column: magnetic moment on the atom in μB.
Positions (direct):
Ca: 0.990 0.990 0.000  -0.02
Te: 0.713 0.213 0.500  -0.02
Ca: 0.264 0.764 0.500  -0.02
Cr: 0.533 0.533 0.000  3.81

## Properties
- Space group: Imm2
- E_form (uncorrected): -0.236 eV/atom
- Crystal system: orthorhombic

# 5
First-principles (PBE) data for crystalline SiB2PC at its relaxed geometry, as listed in the Alexandria database.

Unit cell a=3.253 b=4.497 c=4.122 alpha=90.00 beta=108.15 gamma=90.00
Positions (direct):
B: 0.117 0.448 0.849
Si: 0.500 0.848 0.500
B: 0.883 0.448 0.151
P: 0.500 0.113 0.000
C: 0.000 0.615 0.500

## Properties
- Space group: P2
- E_form (uncorrected): 0.288 eV/atom
- Crystal system: monoclinic

# 6
First-principles (PBE) data for crystalline K2Tl6AgPb at its relaxed geometry, as listed in the Alexandria database.

Unit cell a=8.054 b=8.054 c=14.143 alpha=73.46 beta=73.46 gamma=60.00
Positions (direct):
Pb: 0.421 0.421 0.736
Tl: 0.657 0.657 0.608
Tl: 0.805 0.805 0.155
Tl: 0.343 0.923 0.392
K: 0.128 0.128 0.615
Tl: 0.805 0.234 0.155
K: 0.702 0.702 0.894
K: 0.872 0.872 0.385
Tl: 0.766 0.195 0.845
Tl: 0.343 0.343 0.392
Tl: 0.234 0.805 0.155
Tl: 0.923 0.343 0.392
Tl: 0.195 0.195 0.845
Tl: 0.657 0.077 0.608
Tl: 0.195 0.766 0.845
K: 0.298 0.298 0.106
Tl: 0.077 0.657 0.608
Ag: 0.000 0.000 0.000
Pb: 0.579 0.579 0.264
Ag: 0.500 0.500 0.500

## Properties
- Space group: R-3m
- Energy relative to the elements: 6.8 kJ/mol of atoms
- Crystal system: trigonal

# 7
First-principles (PBE) data for crystalline Pr2SnRh3 at its relaxed geometry, as listed in the Alexandria database.

Unit cell a=5.790 b=5.790 c=8.424 alpha=90.00 beta=90.00 gamma=120.00
Positions (direct):
Rh: 0.175 0.349 0.250
Sn: 0.000 0.000 0.000
Rh: 0.825 0.651 0.750
Sn: 0.000 0.000 0.500
Rh: 0.825 0.175 0.750
Rh: 0.175 0.825 0.250
Pr: 0.333 0.667 0.934
Pr: 0.333 0.667 0.566
Pr: 0.667 0.333 0.066
Pr: 0.667 0.333 0.434
Rh: 0.349 0.175 0.750
Rh: 0.651 0.825 0.250

## Properties
- Space group: P6_3/mmc
- Energy relative to the elements: -69.8 kJ/mol of atoms
- Crystal system: hexagonal